No. 1
DFT (PBE) results for a relaxed NaCdSb2 crystal.

a b c (Å): 4.7954 4.7954 4.5184
angles (deg): 90.00 90.00 90.00
Closest atoms and distances in Å follow each position.
Positions (direct):
Na 0.0000 0.0000 0.0000  8 Sb 3.29, 4 Cd 3.39
Cd 0.5000 0.5000 0.0000  8 Sb 3.29, 4 Na 3.39
Sb 0.0000 0.5000 0.5000  4 Cd 3.29, 4 Na 3.29, 4 Sb 3.39
Sb 0.5000 0.0000 0.5000  4 Cd 3.29, 4 Na 3.29, 4 Sb 3.39

Properties
* symmetry: P4/mmm
* total energy: -2.71 eV per atom

=====

No. 2
DFT (PBE) results for a relaxed NaCdSb2 crystal.

a b c (Å): 3.6512 3.6512 28.5398
angles (deg): 90.00 90.00 120.00
Closest atoms and distances in Å follow each position.
Positions (direct):
Na 0.0000 0.0000 0.0000  6 Sb 3.31, 6 Na 3.65
Na 0.3333 0.6667 0.6667  6 Sb 3.31, 6 Na 3.65
Na 0.6667 0.3333 0.3333  6 Sb 3.31, 6 Na 3.65
Cd 0.0000 0.0000 0.5000  6 Sb 3.05
Cd 0.3333 0.6667 0.1667  6 Sb 3.05
Cd 0.6667 0.3333 0.8333  6 Sb 3.05
Sb 0.0000 0.0000 0.2441  3 Cd 3.05, 3 Na 3.31
Sb 0.0000 0.0000 0.7559  3 Cd 3.05, 3 Na 3.31
Sb 0.3333 0.6667 0.4226  3 Cd 3.05, 3 Na 3.31
Sb 0.3333 0.6667 0.9108  3 Cd 3.05, 3 Na 3.31
Sb 0.6667 0.3333 0.0892  3 Cd 3.05, 3 Na 3.31
Sb 0.6667 0.3333 0.5774  3 Cd 3.05, 3 Na 3.31

Properties
* symmetry: R-3m
* total energy: -2.67 eV per atom

=====

No. 3
DFT (PBE) results for a relaxed Na2CdSb crystal.

a b c (Å): 3.4024 3.4024 33.8202
angles (deg): 90.00 90.00 120.00
Closest atoms and distances in Å follow each position.
Positions (direct):
Na 0.0000 0.0000 0.0893  1 Sb 3.02, 3 Cd 3.27
Na 0.0000 0.0000 0.9107  1 Sb 3.02, 3 Cd 3.27
Na 0.3333 0.6667 0.5774  1 Sb 3.02, 3 Cd 3.27
Na 0.3333 0.6667 0.7559  1 Sb 3.02, 3 Cd 3.27
Na 0.6667 0.3333 0.2441  1 Sb 3.02, 3 Cd 3.27
Na 0.6667 0.3333 0.4226  1 Sb 3.02, 3 Cd 3.27
Cd 0.0000 0.0000 0.5000  6 Na 3.27, 6 Cd 3.40
Cd 0.3333 0.6667 0.1667  6 Na 3.27, 6 Cd 3.40
Cd 0.6667 0.3333 0.8333  6 Na 3.27, 6 Cd 3.40
Sb 0.0000 0.0000 0.0000  2 Na 3.02
Sb 0.3333 0.6667 0.6667  2 Na 3.02
Sb 0.6667 0.3333 0.3333  2 Na 3.02

Properties
* symmetry: R-3m
* total energy: -1.90 eV per atom

=====

No. 4
DFT (PBE) results for a relaxed NaCdSb2 crystal.

a b c (Å): 8.7186 8.7186 6.0971
angles (deg): 90.00 90.00 90.00
Closest atoms and distances in Å follow each position.
Positions (direct):
Na 0.0000 0.0000 0.0000  2 Cd 3.05
Na 0.0000 0.5000 0.2500  2 Cd 3.05
Na 0.5000 0.0000 0.7500  2 Cd 3.05
Na 0.5000 0.5000 0.5000  2 Cd 3.05
Cd 0.0000 0.0000 0.5000  4 Sb 2.89, 2 Na 3.05
Cd 0.0000 0.5000 0.7500  4 Sb 2.89, 2 Na 3.05
Cd 0.5000 0.0000 0.2500  4 Sb 2.89, 2 Na 3.05
Cd 0.5000 0.5000 0.0000  4 Sb 2.89, 2 Na 3.05
Sb 0.1987 0.2500 0.6250  2 Cd 2.89, 2 Sb 3.18
Sb 0.2500 0.6987 0.8750  2 Cd 2.89, 2 Sb 3.18
Sb 0.2500 0.8013 0.3750  2 Cd 2.89, 2 Sb 3.18
Sb 0.3013 0.2500 0.1250  2 Cd 2.89, 2 Sb 3.18
Sb 0.6987 0.7500 0.1250  2 Cd 2.89, 2 Sb 3.18
Sb 0.7500 0.1987 0.3750  2 Cd 2.89, 2 Sb 3.18
Sb 0.7500 0.3013 0.8750  2 Cd 2.89, 2 Sb 3.18
Sb 0.8013 0.7500 0.6250  2 Cd 2.89, 2 Sb 3.18

Properties
* symmetry: I-42d
* total energy: -2.69 eV per atom

=====

no.,formation energy from raw total energies (eV/atom)
1,-0.09
2,-0.05
3,0.02
4,-0.07